Material: KTbSe4
Method: DFT, PBE
State: optimized geometry

The structure in POSCAR format:
```
KTbSe4
1.0
6.286 0.000 0.000
0.000 6.286 0.000
0.000 0.000 8.411
K Tb Se
2 2 8
Cartesian
1.572 1.572 0.000
4.715 4.715 0.000
1.572 1.572 4.205
4.715 4.715 4.205
0.710 3.853 2.465
0.710 5.576 5.946
2.433 3.853 5.946
2.433 5.576 2.465
3.853 0.710 5.946
3.853 2.433 2.465
5.576 0.710 2.465
5.576 2.433 5.946
```

**Theoretical density**: 5.1 g/cm3
**Calculated volume**: 27.699 A^3/atom
**Total DFT energy (no corrections)**: -26.667 eV/f.u.
**Crystal system**: tetragonal
**Space-group type**: P4/nbm